First-principles (SCAN) data for a PBEsol-optimized structure of SrAlAs, as listed in Alexandria via LeMat-Bulk.

Calculated values
- DOS at the Fermi energy (states/eV per atom) = 0.3527
- crystal system = hexagonal
- energy of formation from the pure elements (eV/atom) = -0.64

The structure in extended XYZ format:
```
3
Lattice="4.4371 0.0000 0.0000 -2.2185 3.8426 0.0000 0.0000 0.0000 4.3474" Properties=species:S:1:pos:R:3 pbc="T T T"
Sr 0.0000 0.0000 0.0000
Al 0.0000 2.5618 2.1737
As 2.2185 1.2809 2.1737
```